(1)
{
  "formula": "LiGdScTl",
  "functional": "PBE-GGA",
  "state": "optimized geometry",
  "lattice_angstrom": [[-2.708, -2.899, -3.299], [-1.118, -4.896, 1.185], [-4.854, -1.338, 1.125]],
  "species": ["Gd", "Li", "Sc", "Tl"],
  "frac_coords": [[0.750, 0.750, 0.750], [0.000, 0.000, 0.000], [0.250, 0.250, 0.250], [0.500, 0.500, 0.500]],
  "space_group": "No. 216",
  "total_energy_ev_per_atom": -6.36,
  "n_ef_per_ev_atom": 0.84
}

***

(2)
{
  "formula": "Li2Te2Pt",
  "functional": "PBE-GGA",
  "state": "optimized geometry",
  "lattice_angstrom": [[7.233, 0.000, 0.000], [0.000, 7.233, 0.000], [0.000, 0.000, 4.380]],
  "species": ["Li", "Te", "Pt", "Te", "Li", "Pt", "Te", "Li", "Li", "Te"],
  "frac_coords": [[0.653, 0.847, 0.500], [0.666, 0.166, 0.000], [0.500, 0.500, 0.000], [0.834, 0.666, 0.000], [0.847, 0.347, 0.500], [0.000, 0.000, 0.000], [0.166, 0.334, 0.000], [0.153, 0.653, 0.500], [0.347, 0.153, 0.500], [0.334, 0.834, 0.000]],
  "space_group": "No. 127",
  "total_energy_ev_per_atom": -3.76,
  "formation_energy_uncorrected_mev_per_atom": -530,
  "n_ef_per_ev_atom": 0.12
}

***

(3)
{
  "formula": "CdCoOs2",
  "functional": "PBE-GGA",
  "state": "optimized geometry",
  "lattice_angstrom": [[-1.948, -4.240, -0.071], [-0.190, -1.274, -4.485], [3.604, 1.588, 2.503]],
  "species": ["Os", "Co", "Os", "Cd"],
  "frac_coords": [[0.250, 0.750, 0.500], [0.750, 0.250, 0.500], [0.000, 0.000, 0.000], [0.500, 0.500, 0.000]],
  "space_group": "No. 119",
  "total_energy_ev_per_atom": -6.99,
  "n_ef_per_ev_atom": 1.52
}

***

(4)
{
  "formula": "Ca2YCrP",
  "functional": "PBE-GGA",
  "state": "optimized geometry",
  "lattice_angstrom": [[5.888, 0.000, 0.000], [0.000, 5.888, 0.000], [0.000, 0.000, 4.586]],
  "species": ["Cr", "P", "Ca", "Ca", "Y"],
  "frac_coords": [[0.000, 0.000, 0.500], [0.500, 0.500, 0.500], [0.000, 0.500, 0.000], [0.500, 0.000, 0.000], [0.000, 0.000, 0.000]],
  "space_group": "No. 123",
  "total_energy_ev_per_atom": -3.79,
  "n_ef_per_ev_atom": 0.96
}

***

(5)
{
  "formula": "Tl2CoSe",
  "functional": "PBE-GGA",
  "state": "optimized geometry",
  "lattice_angstrom": [[-3.251, 1.142, 1.366], [-0.572, -3.363, 1.450], [2.948, 1.854, 5.465]],
  "species": ["Tl", "Tl", "Co", "Se"],
  "frac_coords": [[0.000, 0.000, 0.486], [0.000, 0.000, 0.014], [0.500, 0.500, 0.250], [0.500, 0.500, 0.750]],
  "space_group": "No. 123",
  "total_energy_ev_per_atom": -3.38,
  "formation_energy_uncorrected_mev_per_atom": 454,
  "e_above_lowest_polymorph_ev_per_atom": 0.449,
  "n_ef_per_ev_atom": 1.18
}

***

(6)
{
  "formula": "BeAl2Tc",
  "functional": "PBE-GGA",
  "state": "optimized geometry",
  "lattice_angstrom": [[-6.000, -3.374, 4.685], [-4.077, -2.877, 6.666], [-5.837, -0.841, 5.878]],
  "species": ["Al", "Be", "Al", "Tc"],
  "frac_coords": [[0.997, 0.997, 0.997], [0.250, 0.250, 0.250], [0.503, 0.503, 0.503], [0.750, 0.750, 0.750]],
  "space_group": "No. 166",
  "total_energy_ev_per_atom": -5.34,
  "n_ef_per_ev_atom": 0.67
}